Below is PbAuBr2 after structural relaxation, with properties calculated at the PBE level.

Calculated values
- Crystal system: orthorhombic
- Energy relative to the elements, uncorrected: -182 meV/atom
- Theoretical density: 7.64 g cm⁻³
- E_tot: -2.765 eV per atom
- Relative energy among the computed polymorphs: 0.168 eV per atom

a b c (Å): 4.410 6.313 8.805
angles (deg): 90.00 90.00 90.00
Space group Cmm2 (No. 35)
Inequivalent atoms, fractional coordinates:
Pb 0.000 0.000 0.000 [2 per cell]
Au 0.000 0.500 0.218 [2 per cell]
Br 0.000 0.000 0.386 [2 per cell]
Br 0.000 0.500 0.763 [2 per cell]

Below is CoAgP2 after structural relaxation, with properties calculated at the PBE level.

Calculated values
- Crystal system: orthorhombic
- Theoretical density: 6.40 g cm⁻³
- E_tot: -5.127 eV per atom
- E_form: 0.0671 eV per atom
- Relative energy among the computed polymorphs: 0.029 eV per atom

a b c (Å): 2.752 3.535 12.205
angles (deg): 90.00 90.00 90.00
Space group Imm2 (No. 44)
Inequivalent atoms, fractional coordinates:
Co 0.000 0.000 0.000 [2 per cell]
Ag 0.000 0.500 0.720 [2 per cell]
P 0.000 0.000 0.554 [2 per cell]
P 0.000 0.500 0.355 [2 per cell]

Below is Pr4AlAg2Hg after structural relaxation, with properties calculated at the PBE level.

Calculated values
- Crystal system: trigonal
- Theoretical density: 7.58 g cm⁻³
- E_tot: -3.927 eV per atom
- E_form: -0.3184 eV per atom

a b c (Å): 5.3731 5.3731 26.4512
angles (deg): 90.00 90.00 120.00
Space group R-3m (No. 166, hexagonal axes)
Inequivalent atoms, fractional coordinates:
Pr 0.0000 0.0000 0.1237 [6 per cell]
Pr 0.0000 0.0000 0.3742 [6 per cell]
Al 0.0000 0.0000 0.0000 [3 per cell]
Ag 0.0000 0.0000 0.2523 [6 per cell]
Hg 0.0000 0.0000 0.5000 [3 per cell]

Below is MgCu2Pd2 after structural relaxation, with properties calculated at the PBE level.

Calculated values
- Crystal system: orthorhombic
- Theoretical density: 8.08 g cm⁻³
- E_tot: -4.259 eV per atom
- E_form: -0.2241 eV per atom
- Relative energy among the computed polymorphs: 0.090 eV per atom

a b c (Å): 2.893 18.034 2.869
angles (deg): 90.00 90.00 90.00
Space group Cmmm (No. 65)
Inequivalent atoms, fractional coordinates:
Mg 0.000 0.000 0.000 [2 per cell]
Cu 0.000 0.195 0.000 [4 per cell]
Pd 0.000 0.398 0.500 [4 per cell]

Below is Tb2Al3ZnAu4 after structural relaxation, with properties calculated at the PBE level.

Calculated values
- Crystal system: tetragonal
- Theoretical density: 10.43 g cm⁻³
- E_tot: -4.145 eV per atom
- E_form: -0.6578 eV per atom

a b c (Å): 4.350 4.350 10.540
angles (deg): 90.00 90.00 90.00
Space group P-4m2 (No. 115)
Inequivalent atoms, fractional coordinates:
Tb 0.000 0.500 0.247 [2 per cell]
Al 0.000 0.000 0.000 [1 per cell]
Al 0.000 0.500 0.631 [2 per cell]
Zn 0.500 0.500 0.000 [1 per cell]
Au 0.000 0.000 0.500 [1 per cell]
Au 0.000 0.500 0.864 [2 per cell]
Au 0.500 0.500 0.500 [1 per cell]

Below is TaReI2 after structural relaxation, with properties calculated at the PBE level.

Calculated values
- Crystal system: cubic
- Energy relative to the elements, uncorrected: 1352 meV/atom
- Theoretical density: 13.15 g cm⁻³
- E_tot: -5.498 eV per atom
- Relative energy among the computed polymorphs: 0.000 eV per atom

a b c (Å): 6.794 6.794 6.794
angles (deg): 90.00 90.00 90.00
Space group Fm-3m (No. 225)
Inequivalent atoms, fractional coordinates:
Ta 0.000 0.000 0.000 [4 per cell]
Re 0.000 0.000 0.500 [4 per cell]
I 0.250 0.250 0.250 [8 per cell]

Below is CaCu2 after structural relaxation, with properties calculated at the PBE level.

Calculated values
- Crystal system: cubic
- Theoretical density: 3.87 g cm⁻³
- E_tot: -2.901 eV per atom
- E_form: 0.4968 eV per atom

a b c (Å): 6.597 6.597 6.597
angles (deg): 90.00 90.00 90.00
Space group Fm-3m (No. 225)
Inequivalent atoms, fractional coordinates:
Ca 0.000 0.000 0.000 [4 per cell]
Cu 0.250 0.250 0.250 [8 per cell]

Below is TmTaO4 after structural relaxation, with properties calculated at the PBE level.

Calculated values
- Crystal system: orthorhombic
- Energy relative to the elements, uncorrected: -3203 meV/atom
- Theoretical density: 8.52 g cm⁻³
- E_tot: -9.229 eV per atom

a b c (Å): 3.843 15.533 5.408
angles (deg): 90.00 90.00 90.00
Space group Cmc2_1 (No. 36)
Inequivalent atoms, fractional coordinates:
Tm 0.000 0.200 0.000 [4 per cell]
Ta 0.000 0.414 0.067 [4 per cell]
O 0.000 0.102 0.635 [4 per cell]
O 0.000 0.298 0.292 [4 per cell]
O 0.000 0.331 0.791 [4 per cell]
O 0.000 0.483 0.389 [4 per cell]

Q: Look up the theoretical density of the third one.
A: 7.58 g cm⁻³

Q: Which formula does entry 1 have?
A: PbAuBr2

Q: Which formula does entry 4 have?
A: MgCu2Pd2

Q: The highest E_tot belongs to which entry?
A: PbAuBr2